1.
The following is a DFT calculation (PBE) of KAsIN2 after structural relaxation.

Summary:
DOS at the Fermi energy ... 1.77 states/eV/cell
Formation energy (no corrections) ... 484.8 kJ/mol of formula units
Symmetry ... P4/mmm, No. 123

Cell and atoms, written as CIF:
```
data_KAsIN2
_chemical_formula_sum 'K1 As1 I1 N2'
_space_group_name_H-M_alt 'P 1'
_space_group_IT_number 1
_space_group_name_Hall 'P 1'
_cell_length_a 4.246
_cell_length_b 4.246
_cell_length_c 6.304
_cell_angle_alpha 90.00
_cell_angle_beta 90.00
_cell_angle_gamma 90.00
loop_
_atom_site_label
_atom_site_type_symbol
_atom_site_fract_x
_atom_site_fract_y
_atom_site_fract_z
I1 I 0.000 0.000 0.500
As1 As 0.000 0.000 0.000
K1 K 0.500 0.500 0.500
N1 N 0.000 0.500 0.000
N2 N 0.500 0.000 0.000
```

=====

2.
The following is a DFT calculation (PBE) of ZnGaNF2 after structural relaxation.

Summary:
DOS at the Fermi energy ... 1.05 states/eV/cell
Formation energy (no corrections) ... -400.0 kJ/mol of formula units
Symmetry ... P4/mmm, No. 123

Cell and atoms, written as CIF:
```
data_ZnGaNF2
_chemical_formula_sum 'Zn1 Ga1 N1 F2'
_space_group_name_H-M_alt 'P 1'
_space_group_IT_number 1
_space_group_name_Hall 'P 1'
_cell_length_a 3.867
_cell_length_b 3.867
_cell_length_c 3.994
_cell_angle_alpha 90.00
_cell_angle_beta 90.00
_cell_angle_gamma 90.00
loop_
_atom_site_label
_atom_site_type_symbol
_atom_site_fract_x
_atom_site_fract_y
_atom_site_fract_z
Zn1 Zn 0.500 0.500 0.500
N1 N 0.000 0.000 0.500
Ga1 Ga 0.000 0.000 0.000
F1 F 0.000 0.500 0.000
F2 F 0.500 0.000 0.000
```

=====

3.
The following is a DFT calculation (PBE) of CuPtSe2 after structural relaxation.

Summary:
DOS at the Fermi energy ... 2.60 states/eV/cell
Formation energy (no corrections) ... 121.4 kJ/mol of formula units
Symmetry ... I-4m2, No. 119

Cell and atoms, written as CIF:
```
data_CuPtSe2
_chemical_formula_sum 'Cu1 Pt1 Se2'
_space_group_name_H-M_alt 'P 1'
_space_group_IT_number 1
_space_group_name_Hall 'P 1'
_cell_length_a 5.311
_cell_length_b 5.311
_cell_length_c 5.311
_cell_angle_alpha 137.31
_cell_angle_beta 137.31
_cell_angle_gamma 61.96
loop_
_atom_site_label
_atom_site_type_symbol
_atom_site_fract_x
_atom_site_fract_y
_atom_site_fract_z
Cu1 Cu 0.500 0.500 0.000
Pt1 Pt 0.750 0.250 0.500
Se1 Se 0.000 0.000 0.000
Se2 Se 0.250 0.750 0.500
```

=====

4.
The following is a DFT calculation (PBE) of LiCa2DyO4 after structural relaxation.

Summary:
DOS at the Fermi energy ... 0.00 states/eV/cell
Formation energy (no corrections) ... -2221.9 kJ/mol of formula units
Symmetry ... Imma, No. 74

Cell and atoms, written as CIF:
```
data_LiCa2DyO4
_chemical_formula_sum 'Li2 Ca4 Dy2 O8'
_space_group_name_H-M_alt 'P 1'
_space_group_IT_number 1
_space_group_name_Hall 'P 1'
_cell_length_a 6.680
_cell_length_b 6.680
_cell_length_c 6.743
_cell_angle_alpha 120.31
_cell_angle_beta 120.31
_cell_angle_gamma 88.32
loop_
_atom_site_label
_atom_site_type_symbol
_atom_site_fract_x
_atom_site_fract_y
_atom_site_fract_z
Li1 Li 0.500 0.500 0.500
Li2 Li 0.000 0.000 0.000
Ca1 Ca 0.500 0.000 0.000
Ca2 Ca 0.500 0.000 0.500
Ca3 Ca 0.000 0.000 0.500
Ca4 Ca 0.500 0.500 0.000
Dy1 Dy 0.000 0.500 0.000
Dy2 Dy 0.000 0.500 0.500
O1 O 0.235 0.740 0.987
O2 O 0.760 0.265 0.513
O3 O 0.240 0.735 0.487
O4 O 0.765 0.260 0.013
O5 O 0.755 0.745 0.008
O6 O 0.755 0.745 0.492
O7 O 0.245 0.255 0.508
O8 O 0.245 0.255 0.992
```

=====

5.
The following is a DFT calculation (PBE) of MgBrCl2 after structural relaxation.

Summary:
DOS at the Fermi energy ... 9.03 states/eV/cell
Formation energy (no corrections) ... -190.6 kJ/mol of formula units
Symmetry ... R-3m, No. 166

Cell and atoms, written as CIF:
```
data_MgBrCl2
_chemical_formula_sum 'Mg1 Br1 Cl2'
_space_group_name_H-M_alt 'P 1'
_space_group_IT_number 1
_space_group_name_Hall 'P 1'
_cell_length_a 12.106
_cell_length_b 12.106
_cell_length_c 12.106
_cell_angle_alpha 22.24
_cell_angle_beta 22.24
_cell_angle_gamma 22.24
loop_
_atom_site_label
_atom_site_type_symbol
_atom_site_fract_x
_atom_site_fract_y
_atom_site_fract_z
Mg1 Mg 0.000 0.000 0.000
Br1 Br 0.500 0.500 0.500
Cl1 Cl 0.939 0.939 0.939
Cl2 Cl 0.061 0.061 0.061
```

=====

6.
The following is a DFT calculation (PBE) of Ba4SnIBr2 after structural relaxation.

Summary:
DOS at the Fermi energy ... 3.27 states/eV/cell
Formation energy (no corrections) ... -1049.1 kJ/mol of formula units
Symmetry ... P2/m, No. 10

Cell and atoms, written as CIF:
```
data_Ba4SnIBr2
_chemical_formula_sum 'Ba4 Sn1 I1 Br2'
_space_group_name_H-M_alt 'P 1'
_space_group_IT_number 1
_space_group_name_Hall 'P 1'
_cell_length_a 5.044
_cell_length_b 8.363
_cell_length_c 8.660
_cell_angle_alpha 69.79
_cell_angle_beta 90.00
_cell_angle_gamma 90.00
loop_
_atom_site_label
_atom_site_type_symbol
_atom_site_fract_x
_atom_site_fract_y
_atom_site_fract_z
Ba1 Ba 0.000 0.751 0.732
Ba2 Ba 0.000 0.249 0.268
Ba3 Ba 0.500 0.742 0.269
Ba4 Ba 0.500 0.258 0.731
Sn1 Sn 0.000 0.500 0.500
I1 I 0.500 0.500 0.000
Br1 Br 0.000 0.000 0.000
Br2 Br 0.500 0.000 0.500
```

=====

7.
The following is a DFT calculation (PBE) of TaVS2Cl after structural relaxation.

Summary:
DOS at the Fermi energy ... 7.51 states/eV/cell
Formation energy (no corrections) ... -1.5 kJ/mol of formula units
Symmetry ... P4/mmm, No. 123

Cell and atoms, written as CIF:
```
data_TaVS2Cl
_chemical_formula_sum 'Ta1 V1 S2 Cl1'
_space_group_name_H-M_alt 'P 1'
_space_group_IT_number 1
_space_group_name_Hall 'P 1'
_cell_length_a 4.817
_cell_length_b 4.817
_cell_length_c 4.736
_cell_angle_alpha 90.00
_cell_angle_beta 90.00
_cell_angle_gamma 90.00
loop_
_atom_site_label
_atom_site_type_symbol
_atom_site_fract_x
_atom_site_fract_y
_atom_site_fract_z
Cl1 Cl 0.000 0.000 0.500
S1 S 0.000 0.500 0.000
S2 S 0.500 0.000 0.000
V1 V 0.500 0.500 0.500
Ta1 Ta 0.000 0.000 0.000
```

=====

8.
The following is a DFT calculation (PBE) of SrCeBr6 after structural relaxation.

Summary:
Formation energy (no corrections) ... -1354.1 kJ/mol of formula units
Symmetry ... P-1, No. 2

Cell and atoms, written as CIF:
```
data_SrCeBr6
_chemical_formula_sum 'Sr1 Ce1 Br6'
_space_group_name_H-M_alt 'P 1'
_space_group_IT_number 1
_space_group_name_Hall 'P 1'
_cell_length_a 7.288
_cell_length_b 7.284
_cell_length_c 7.923
_cell_angle_alpha 62.58
_cell_angle_beta 62.63
_cell_angle_gamma 60.00
loop_
_atom_site_label
_atom_site_type_symbol
_atom_site_fract_x
_atom_site_fract_y
_atom_site_fract_z
Sr1 Sr 0.500 0.500 0.500
Ce1 Ce 0.000 0.000 0.000
Br1 Br 0.070 0.400 0.759
Br2 Br 0.770 0.069 0.760
Br3 Br 0.600 0.229 0.240
Br4 Br 0.230 0.931 0.240
Br5 Br 0.930 0.600 0.241
Br6 Br 0.400 0.771 0.760
```

=====

9.
The following is a DFT calculation (PBE) of Sc5TlIn after structural relaxation.

Summary:
DOS at the Fermi energy ... 19.11 states/eV/cell
Energy relative to the elements ... -0.102 eV/atom
Symmetry ... C2/c, No. 15

Cell and atoms, written as CIF:
```
data_Sc5TlIn
_chemical_formula_sum 'Sc10 Tl2 In2'
_space_group_name_H-M_alt 'P 1'
_space_group_IT_number 1
_space_group_name_Hall 'P 1'
_cell_length_a 7.653
_cell_length_b 7.653
_cell_length_c 6.016
_cell_angle_alpha 78.91
_cell_angle_beta 78.91
_cell_angle_gamma 91.21
loop_
_atom_site_label
_atom_site_type_symbol
_atom_site_fract_x
_atom_site_fract_y
_atom_site_fract_z
Sc1 Sc 0.667 0.821 0.404
Sc2 Sc 0.046 0.652 0.310
Sc3 Sc 0.821 0.667 0.904
Sc4 Sc 0.723 0.277 0.250
Sc5 Sc 0.348 0.954 0.190
Sc6 Sc 0.652 0.046 0.810
Sc7 Sc 0.277 0.723 0.750
Sc8 Sc 0.179 0.333 0.096
Sc9 Sc 0.954 0.348 0.690
Sc10 Sc 0.333 0.179 0.596
Tl1 Tl 0.000 0.000 0.000
Tl2 Tl 0.000 0.000 0.500
In1 In 0.434 0.566 0.250
In2 In 0.566 0.434 0.750
```

=====

10.
The following is a DFT calculation (PBE) of Pb2C after structural relaxation.

Summary:
DOS at the Fermi energy ... 1.42 states/eV/cell
Energy relative to the elements ... 1.121 eV/atom
Symmetry ... R3m, No. 160

Cell and atoms, written as CIF:
```
data_Pb2C
_chemical_formula_sum 'Pb2 C1'
_space_group_name_H-M_alt 'P 1'
_space_group_IT_number 1
_space_group_name_Hall 'P 1'
_cell_length_a 6.821
_cell_length_b 6.821
_cell_length_c 6.821
_cell_angle_alpha 30.69
_cell_angle_beta 30.69
_cell_angle_gamma 30.69
loop_
_atom_site_label
_atom_site_type_symbol
_atom_site_fract_x
_atom_site_fract_y
_atom_site_fract_z
Pb1 Pb 0.744 0.744 0.744
Pb2 Pb 0.590 0.590 0.590
C1 C 0.000 0.000 0.000
```

=====

11.
The following is a DFT calculation (PBE) of CaEu2Hf after structural relaxation.

Summary:
DOS at the Fermi energy ... 5.89 states/eV/cell
Energy relative to the elements ... 0.517 eV/atom
Symmetry ... R-3m, No. 166

Cell and atoms, written as CIF:
```
data_CaEu2Hf
_chemical_formula_sum 'Ca1 Eu2 Hf1'
_space_group_name_H-M_alt 'P 1'
_space_group_IT_number 1
_space_group_name_Hall 'P 1'
_cell_length_a 3.450
_cell_length_b 3.450
_cell_length_c 12.986
_cell_angle_alpha 82.37
_cell_angle_beta 82.37
_cell_angle_gamma 60.00
loop_
_atom_site_label
_atom_site_type_symbol
_atom_site_fract_x
_atom_site_fract_y
_atom_site_fract_z
Eu1 Eu 0.081 0.081 0.757
Eu2 Eu 0.919 0.919 0.243
Ca1 Ca 0.500 0.500 0.500
Hf1 Hf 0.000 0.000 0.000
```

=====

12.
The following is a DFT calculation (PBE) of Ta2NbH4 after structural relaxation.

Summary:
DOS at the Fermi energy ... 7.87 states/eV/cell
Symmetry ... C2/c, No. 15

Cell and atoms, written as CIF:
```
data_Ta2NbH4
_chemical_formula_sum 'Ta4 Nb2 H8'
_space_group_name_H-M_alt 'P 1'
_space_group_IT_number 1
_space_group_name_Hall 'P 1'
_cell_length_a 5.762
_cell_length_b 5.762
_cell_length_c 5.778
_cell_angle_alpha 120.17
_cell_angle_beta 120.17
_cell_angle_gamma 89.74
loop_
_atom_site_label
_atom_site_type_symbol
_atom_site_fract_x
_atom_site_fract_y
_atom_site_fract_z
Ta1 Ta 0.625 0.375 0.750
Ta2 Ta 0.625 0.875 0.250
Ta3 Ta 0.625 0.375 0.250
Ta4 Ta 0.125 0.375 0.750
Nb1 Nb 0.250 0.750 0.500
Nb2 Nb 0.000 0.000 0.000
H1 H 0.865 0.134 0.270
H2 H 0.385 0.616 0.230
H3 H 0.864 0.595 0.730
H4 H 0.866 0.135 0.730
H5 H 0.405 0.136 0.270
H6 H 0.386 0.155 0.770
H7 H 0.384 0.615 0.770
H8 H 0.845 0.614 0.230
```

=====

13.
The following is a DFT calculation (PBE) of BeCdP2 after structural relaxation.

Summary:
DOS at the Fermi energy ... 1.86 states/eV/cell
Energy relative to the elements ... 0.091 eV/atom
Symmetry ... I-42d, No. 122

Cell and atoms, written as CIF:
```
data_BeCdP2
_chemical_formula_sum 'Be2 Cd2 P4'
_space_group_name_H-M_alt 'P 1'
_space_group_IT_number 1
_space_group_name_Hall 'P 1'
_cell_length_a 4.849
_cell_length_b 4.849
_cell_length_c 7.295
_cell_angle_alpha 70.59
_cell_angle_beta 70.59
_cell_angle_gamma 90.00
loop_
_atom_site_label
_atom_site_type_symbol
_atom_site_fract_x
_atom_site_fract_y
_atom_site_fract_z
P1 P 0.502 0.125 0.250
P2 P 0.248 0.625 0.250
P3 P 0.375 0.498 0.750
P4 P 0.875 0.752 0.750
Be1 Be 0.500 0.500 0.000
Be2 Be 0.250 0.750 0.500
Cd1 Cd 0.000 0.000 0.000
Cd2 Cd 0.750 0.250 0.500
```

=====

| no. | calculated total energy (eV/cell) |
| --- | --- |
| 1 | -18.92 |
| 2 | -20.51 |
| 3 | -15.85 |
| 4 | -106.76 |
| 5 | -8.94 |
| 6 | -27.46 |
| 7 | -31.09 |
| 8 | -31.69 |
| 9 | -74.95 |
| 10 | -13.28 |
| 11 | -30.43 |
| 12 | -95.70 |
| 13 | -30.19 |